No. 1
Density functional theory data (PBE) for a relaxed ScPF2 crystal.

## Properties
Energy above the most stable polymorph in this dataset (eV per atom): 0.054
Total DFT energy (no corrections) (eV for the cell shown): -23.1
DOS at the Fermi energy (states/eV per cell): 2.75
ΔE_f (raw) (eV per atom): -1.892

Cell and atoms, written as extended XYZ:
```
4
Lattice="1.6997 0.0000 9.7167 -0.8499 1.4720 9.7167 -0.8499 -1.4720 9.7167" Properties=species:S:1:pos:R:3 pbc="T T T"
Sc 0.0000 0.0000 14.5751
P 0.0000 0.0000 0.0000
F 0.0000 0.0000 3.5836
F 0.0000 0.0000 25.5666
```

=====

No. 2
Density functional theory data (PBE) for a relaxed Co3SnPb crystal.

## Properties
ΔE_f (eV per atom): 1.11
Energy above the most stable polymorph in this dataset (eV per atom): 0.000
Total DFT energy (no corrections) (eV for the cell shown): -23.5
DOS at the Fermi energy (states/eV per cell): 9.81

Cell and atoms, written as extended XYZ:
```
5
Lattice="-4.3951 -0.2827 1.7512 1.2506 -3.8122 2.5232 1.2581 2.8019 3.6098" Properties=species:S:1:pos:R:3 pbc="T T T"
Pb -0.9432 -0.6465 3.9421
Co 0.6290 1.4010 1.8049
Co -2.1976 -0.1414 0.8756
Co 0.6253 -1.9061 1.2616
Sn 0.0000 0.0000 0.0000
```

=====

No. 3
Density functional theory data (PBE) for a relaxed LiVGa3 crystal.

## Properties
ΔE_f (eV per atom): 0.22
Energy above the most stable polymorph in this dataset (eV per atom): 0.000
Total DFT energy (no corrections) (eV for the cell shown): -19.0
DOS at the Fermi energy (states/eV per cell): 2.92

Cell and atoms, written as extended XYZ:
```
5
Lattice="4.8125 0.0000 0.0000 0.0000 4.8125 0.0000 0.0000 0.0000 4.8125" Properties=species:S:1:pos:R:3 pbc="T T T"
Ga 0.0000 0.0000 2.4063
V 0.0000 0.0000 0.0000
Ga 0.0000 2.4063 0.0000
Ga 2.4063 0.0000 0.0000
Li 2.4063 2.4063 2.4063
```

=====

No. 4
Density functional theory data (PBE) for a relaxed PbAu2Br crystal.

## Properties
Energy above the most stable polymorph in this dataset (eV per atom): 0.161
Total DFT energy (no corrections) (eV for the cell shown): -11.8
DOS at the Fermi energy (states/eV per cell): 1.26
ΔE_f (raw) (eV per atom): 0.041

Cell and atoms, written as extended XYZ:
```
4
Lattice="-2.6280 3.1492 1.1602 -2.0913 -2.6259 2.3906 3.3681 1.2282 4.2955" Properties=species:S:1:pos:R:3 pbc="T T T"
Pb 0.6384 -0.6988 3.3430
Br 0.3701 2.1887 2.7278
Au 0.0000 0.0000 0.0000
Au -2.3596 0.2617 1.7754
```

=====

No. 5
Density functional theory data (PBE) for a relaxed Nd2YTm crystal.

## Properties
ΔE_f (eV per atom): 0.01
Energy above the most stable polymorph in this dataset (eV per atom): 0.000
Total DFT energy (no corrections) (eV for the cell shown): -20.4
DOS at the Fermi energy (states/eV per cell): 4.50

Cell and atoms, written as extended XYZ:
```
4
Lattice="-2.5084 0.1457 2.5964 1.9258 0.0331 6.9070 3.1722 5.8126 2.7543" Properties=species:S:1:pos:R:3 pbc="T T T"
Y 1.4225 2.0384 7.9841
Nd 0.4594 2.0248 4.5298
Tm 2.0449 4.9282 5.9066
Nd 3.0074 4.9477 9.3590
```

=====

No. 6
Density functional theory data (PBE) for a relaxed BaHfS3 crystal.

## Properties
Total DFT energy (no corrections) (eV for the cell shown): -31.6
DOS at the Fermi energy (states/eV per cell): 0.00
ΔE_f (raw) (eV per atom): -1.477

Cell and atoms, written as extended XYZ:
```
5
Lattice="3.7985 0.0000 0.0000 0.0000 4.1660 -6.7777 0.0000 4.1660 6.7777" Properties=species:S:1:pos:R:3 pbc="T T T"
S 1.8993 2.5380 0.6497
Hf 0.0000 4.1660 1.1948
Ba 1.8993 4.1660 5.7804
S 0.0000 4.1660 3.5450
S 1.8993 5.7940 0.6497
```

=====

No. 7
Density functional theory data (PBE) for a relaxed HfBeCo crystal.

## Properties
ΔE_f (eV per atom): -0.37
Energy above the most stable polymorph in this dataset (eV per atom): 0.000
Total DFT energy (no corrections) (eV for the cell shown): -87.6
DOS at the Fermi energy (states/eV per cell): 9.42

Cell and atoms, written as extended XYZ:
```
12
Lattice="3.8787 0.0000 0.0000 0.0000 6.5373 0.0000 0.0000 0.0000 6.2341" Properties=species:S:1:pos:R:3 pbc="T T T"
Be 2.9090 5.8793 1.2258
Co 2.9090 3.6745 2.0988
Hf 0.9697 5.2708 3.0484
Be 0.9697 0.6580 5.0083
Co 2.9090 6.1315 5.2158
Hf 0.9697 4.5352 6.1655
Hf 2.9090 1.2665 3.1857
Co 0.9697 2.8629 4.1353
Co 0.9697 0.4058 1.0183
Be 0.9697 2.6107 1.8912
Hf 2.9090 2.0021 0.0686
Be 2.9090 3.9267 4.3429
```

=====

No. 8
Density functional theory data (PBE) for a relaxed HfTiNb3 crystal.

## Properties
ΔE_f (eV per atom): 0.06
Energy above the most stable polymorph in this dataset (eV per atom): 0.000
Total DFT energy (no corrections) (eV for the cell shown): -95.5
DOS at the Fermi energy (states/eV per cell): 18.32

Cell and atoms, written as extended XYZ:
```
10
Lattice="-3.5189 2.8048 -1.4450 -0.6839 -2.8201 -3.8072 -3.6082 -5.9143 5.0298" Properties=species:S:1:pos:R:3 pbc="T T T"
Hf -2.8515 -1.1991 -3.1137
Nb -2.1758 -3.5127 -1.5201
Hf -4.9595 -4.7305 2.8912
Nb -5.6352 -2.4169 1.2976
Nb -4.2347 -5.2472 0.1345
Nb -3.5764 -0.6824 -0.3570
Ti -2.8652 -2.9695 1.2128
Nb -7.0385 -4.7203 0.2476
Ti -4.9458 -2.9601 -1.4352
Nb -0.7725 -1.2092 -0.4701
```

=====

Number 1: magnetization 0.0 μB/cell. Number 2: magnetization 4.0 μB/cell. Number 3: magnetization 0.0 μB/cell. Number 4: magnetization 0.0 μB/cell. Number 5: magnetization 0.0 μB/cell. Number 6: magnetization 0.0 μB/cell. Number 7: magnetization 0.0 μB/cell. Number 8: magnetization 0.0 μB/cell.